# Tl2AsW

A relaxed structure of Tl2AsW (PBE-GGA, the Alexandria database).

Energy relative to the elements, eV/atom: 0.96
V, A^3/atom: 21.605
Excess energy over the best structure of this formula in the dataset, meV/atom: 620
VASP energy, eV per atom: -4.6265

a = 5.266 Å, b = 3.041 Å, c = 5.925 Å
α = 90.00°, β = 114.41°, γ = 90.00°
Space group P2/m (No. 10)
Asymmetric unit:
Tl: 0.000 0.000 0.000 (multiplicity 1)
Tl: 0.000 0.500 0.500 (multiplicity 1)
As: 0.500 0.000 0.500 (multiplicity 1)
W: 0.500 0.500 0.000 (multiplicity 1)